*i*
A plane-wave DFT calculation with GGA-PBE was carried out for SmDy2Tm4 after structural relaxation. Values from VASP.

The structure in Quantum ESPRESSO input format:
```
&SYSTEM
  ibrav = 0, nat = 7, ntyp = 3
/
ATOMIC_SPECIES
Sm 150.36 Sm.upf
Dy 162.50 Dy.upf
Tm 168.93 Tm.upf
ATOMIC_POSITIONS crystal
Sm 0.0000 0.0000 0.0000
Dy 0.3599 0.4297 0.1399
Dy 0.6401 0.5703 0.8601
Tm 0.4108 0.7060 0.5890
Tm 0.8084 0.1641 0.7129
Tm 0.5892 0.2940 0.4110
Tm 0.1916 0.8359 0.2871
CELL_PARAMETERS angstrom
3.4754 -0.2520 0.3144
-2.6054 8.2693 -3.4728
0.9203 -1.2386 8.2903
```

Computed properties:
- crystal system = monoclinic

=====

*ii*
A plane-wave DFT calculation with GGA-PBE was carried out for SmDy2Tm4 after structural relaxation. Values from VASP.

The structure in Quantum ESPRESSO input format:
```
&SYSTEM
  ibrav = 0, nat = 14, ntyp = 3
/
ATOMIC_SPECIES
Sm 150.36 Sm.upf
Dy 162.50 Dy.upf
Tm 168.93 Tm.upf
ATOMIC_POSITIONS crystal
Sm 0.1963 0.8653 0.8795
Sm 0.0538 0.4322 0.1681
Dy 0.6937 0.2479 0.7613
Dy 0.5559 0.8164 0.0532
Dy 0.6247 0.1879 0.0629
Dy 0.1252 0.4907 0.8658
Tm 0.9771 0.1664 0.2658
Tm 0.4800 0.6371 0.2353
Tm 0.7702 0.5059 0.6577
Tm 0.8352 0.8237 0.6207
Tm 0.3377 0.1461 0.4432
Tm 0.2729 0.0380 0.6886
Tm 0.4149 0.5363 0.4889
Tm 0.9124 0.8560 0.3090
CELL_PARAMETERS angstrom
8.2140 0.0247 1.7139
-0.3921 9.4548 -2.4591
-2.6846 -6.5910 6.7191
```

Computed properties:
- crystal system = triclinic

=====

Compare the structures above. Which one is the least stable? *ii* is.